1.
The following is a PBE calculation of a relaxed structure of La3TbPr3S8, from the Alexandria database.

Geometry as extended XYZ:
```
15
Lattice="4.099 2.367 6.759 -4.099 2.367 6.759 0.000 -4.733 6.759" Properties=species:S:1:pos:R:3 pbc="T T T"
La -2.049 -1.183 6.759
La -2.049 1.183 13.517
La 0.000 2.367 6.759
Tb 0.000 0.000 10.138
Pr -4.099 0.000 10.138
Pr -2.049 1.183 3.379
Pr 2.049 1.183 3.379
S 0.000 0.000 5.062
S -1.975 -1.140 11.755
S 0.000 -2.280 8.521
S -1.975 1.140 8.521
S 1.975 -1.140 11.755
S 0.000 2.280 11.755
S 1.975 1.140 8.521
S 0.000 0.000 15.215
```

Calculated values
Spin magnetization ... 0.0 μB/f.u.
Energy relative to the elements, uncorrected ... -2.106 eV/atom



2.
The following is a PBE calculation of a relaxed structure of LaTb4PrS8, from the Alexandria database.

Geometry as extended XYZ:
```
14
Lattice="4.088 2.360 6.757 -4.088 2.360 6.757 0.000 -4.720 6.757" Properties=species:S:1:pos:R:3 pbc="T T T"
La 0.000 0.000 0.000
Tb 0.000 -2.343 10.949
Tb -2.029 1.172 10.949
Tb 0.000 0.000 15.162
Tb 2.029 1.172 10.949
Pr 0.000 0.000 7.600
S 0.000 -2.181 5.743
S -1.889 1.091 5.743
S 0.000 0.000 2.771
S -1.979 -1.142 9.386
S 1.889 1.091 5.743
S 0.000 0.000 12.489
S 1.979 -1.142 9.386
S 0.000 2.285 9.386
```

Calculated values
Spin magnetization ... 0.0 μB/f.u.
Energy relative to the elements, uncorrected ... -1.943 eV/atom



3.
The following is a PBE calculation of a relaxed structure of La4Tb3PrS8, from the Alexandria database.

Geometry as extended XYZ:
```
16
Lattice="4.054 2.341 6.672 -4.054 2.341 6.672 0.000 -4.682 6.672" Properties=species:S:1:pos:R:3 pbc="T T T"
La 0.000 0.000 0.000
La -2.027 -1.170 6.672
La -2.027 1.170 13.344
La 0.000 2.341 6.672
Tb -4.054 0.000 10.008
Tb -2.027 1.170 3.336
Tb 2.027 1.170 3.336
Pr 0.000 0.000 10.008
S -2.075 -1.198 11.587
S 0.000 0.000 4.879
S 0.000 -2.396 8.429
S -2.075 1.198 8.429
S 2.075 -1.198 11.587
S 0.000 2.396 11.587
S 0.000 0.000 15.136
S 2.075 1.198 8.429
```

Calculated values
Spin magnetization ... 0.0 μB/f.u.
Energy relative to the elements, uncorrected ... -2.089 eV/atom



4.
The following is a PBE calculation of a relaxed structure of LaTb2PrS4, from the Alexandria database.

Geometry as extended XYZ:
```
8
Lattice="-2.853 2.853 5.711 2.853 -2.853 5.711 2.853 2.853 -5.711" Properties=species:S:1:pos:R:3 pbc="T T T"
La 0.000 0.000 0.000
Tb 2.853 0.000 2.856
Tb 0.000 2.853 2.856
Pr 0.000 0.000 5.711
S 2.853 0.000 0.000
S 0.000 0.000 2.860
S 0.000 2.853 0.000
S 0.000 0.000 8.562
```

Calculated values
Spin magnetization ... 0.0 μB/f.u.
Energy relative to the elements, uncorrected ... -2.019 eV/atom



5.
The following is a PBE calculation of a relaxed structure of LaPrTeS, from the Alexandria database.

Geometry as extended XYZ:
```
8
Lattice="2.571 1.484 10.998 -2.571 1.484 10.998 0.000 -2.969 10.998" Properties=species:S:1:pos:R:3 pbc="T T T"
La 0.000 0.000 4.000
La 0.000 0.000 28.993
Pr 0.000 0.000 9.783
Pr 0.000 0.000 23.210
Te 0.000 0.000 13.106
Te 0.000 0.000 19.887
S 0.000 0.000 6.790
S 0.000 0.000 26.203
```

Calculated values
Spin magnetization ... 0.0 μB/f.u.
Energy relative to the elements, uncorrected ... -1.536 eV/atom



6.
The following is a PBE calculation of a relaxed structure of LaPrTe2S, from the Alexandria database.

Geometry as extended XYZ:
```
10
Lattice="4.581 0.000 0.000 0.000 4.581 0.000 0.000 0.000 16.137" Properties=species:S:1:pos:R:3 pbc="T T T"
La 1.145 1.145 1.628
La 3.436 3.436 14.510
Pr 1.145 1.145 9.943
Pr 3.436 3.436 6.194
Te 1.145 1.145 6.553
Te 1.145 1.145 12.944
Te 3.436 3.436 3.193
Te 3.436 3.436 9.584
S 1.145 3.436 0.000
S 3.436 1.145 0.000
```

Calculated values
Spin magnetization ... 0.0 μB/f.u.
Energy relative to the elements, uncorrected ... -1.615 eV/atom



7.
The following is a PBE calculation of a relaxed structure of LaPr2Th3S6, from the Alexandria database.

Geometry as extended XYZ:
```
12
Lattice="3.533 -6.078 0.000 3.533 6.078 0.000 -2.323 0.000 6.710" Properties=species:S:1:pos:R:3 pbc="T T T"
La 0.000 0.000 0.000
Pr 3.533 2.022 0.000
Pr 3.533 -2.022 0.000
Th 2.371 4.048 3.355
Th 2.371 0.000 3.355
Th 2.371 -4.048 3.355
S 1.189 2.033 1.706
S 0.031 0.000 5.001
S 1.189 -2.033 1.706
S 3.553 2.033 5.004
S 4.710 0.000 1.709
S 3.553 -2.033 5.004
```

Calculated values
Spin magnetization ... 0.0 μB/f.u.
Energy relative to the elements, uncorrected ... -1.943 eV/atom



8.
The following is a PBE calculation of a relaxed structure of La3PrTh2S6, from the Alexandria database.

Geometry as extended XYZ:
```
12
Lattice="3.555 -6.135 0.000 3.555 6.135 0.000 -2.353 0.000 6.733" Properties=species:S:1:pos:R:3 pbc="T T T"
La 0.000 0.000 0.000
La 3.555 2.018 0.000
La 3.555 -2.018 0.000
Pr 2.379 0.000 3.367
Th 2.379 4.086 3.367
Th 2.379 -4.086 3.367
S 1.177 2.065 1.716
S -0.011 0.000 5.000
S 1.177 -2.065 1.716
S 3.580 2.065 5.017
S 4.768 0.000 1.733
S 3.580 -2.065 5.017
```

Calculated values
Spin magnetization ... 0.0 μB/f.u.
Energy relative to the elements, uncorrected ... -2.029 eV/atom



9.
The following is a PBE calculation of a relaxed structure of LaPr4Th3S8, from the Alexandria database.

Geometry as extended XYZ:
```
16
Lattice="4.072 2.351 6.708 -4.072 2.351 6.708 0.000 -4.702 6.708" Properties=species:S:1:pos:R:3 pbc="T T T"
La 0.000 0.000 0.000
Pr -4.072 0.000 10.062
Pr -2.036 1.176 3.354
Pr 2.036 1.176 3.354
Pr 0.000 0.000 10.062
Th -2.036 -1.176 6.708
Th -2.036 1.176 13.417
Th 0.000 2.351 6.708
S 0.000 0.000 5.054
S 0.000 -2.328 8.371
S -2.016 1.164 8.371
S -2.016 -1.164 11.754
S 2.016 1.164 8.371
S 2.016 -1.164 11.754
S 0.000 2.328 11.754
S 0.000 0.000 15.071
```

Calculated values
Spin magnetization ... 0.0 μB/f.u.
Energy relative to the elements, uncorrected ... -1.967 eV/atom



10.
The following is a PBE calculation of a relaxed structure of La4PrTh3S8, from the Alexandria database.

Geometry as extended XYZ:
```
16
Lattice="4.096 2.365 6.719 -4.096 2.365 6.719 0.000 -4.730 6.719" Properties=species:S:1:pos:R:3 pbc="T T T"
La 0.000 0.000 0.000
La -2.048 -1.182 6.719
La -2.048 1.182 13.438
La 0.000 2.365 6.719
Pr 0.000 0.000 10.079
Th -4.096 0.000 10.079
Th -2.048 1.182 3.360
Th 2.048 1.182 3.360
S -2.060 -1.190 11.720
S 0.000 0.000 4.997
S 0.000 -2.379 8.438
S -2.060 1.190 8.438
S 2.060 -1.190 11.720
S 0.000 2.379 11.720
S 0.000 0.000 15.160
S 2.060 1.190 8.438
```

Calculated values
Spin magnetization ... 0.0 μB/f.u.
Energy relative to the elements, uncorrected ... -2.028 eV/atom



11.
The following is a PBE calculation of a relaxed structure of LaPr3Th2S6, from the Alexandria database.

Geometry as extended XYZ:
```
12
Lattice="3.538 -6.113 0.000 3.538 6.113 0.000 -2.353 0.000 6.708" Properties=species:S:1:pos:R:3 pbc="T T T"
La 0.000 0.000 0.000
Pr 2.361 4.112 3.354
Pr 2.361 0.000 3.354
Pr 2.361 -4.112 3.354
Th 3.538 2.043 0.000
Th 3.538 -2.043 0.000
S 1.198 2.067 1.670
S 0.038 0.000 5.063
S 1.198 -2.067 1.670
S 3.525 2.067 5.038
S 4.685 0.000 1.645
S 3.525 -2.067 5.038
```

Calculated values
Spin magnetization ... 0.0 μB/f.u.
Energy relative to the elements, uncorrected ... -1.975 eV/atom



12.
The following is a PBE calculation of a relaxed structure of La3PrTh4S8, from the Alexandria database.

Geometry as extended XYZ:
```
16
Lattice="4.068 2.349 6.744 -4.068 2.349 6.744 0.000 -4.697 6.744" Properties=species:S:1:pos:R:3 pbc="T T T"
La -2.034 -1.174 6.744
La -2.034 1.174 13.489
La 0.000 2.349 6.744
Pr 0.000 0.000 0.000
Th -4.068 0.000 10.117
Th -2.034 1.174 3.372
Th 2.034 1.174 3.372
Th 0.000 0.000 10.117
S -2.042 -1.179 11.770
S 0.000 0.000 5.021
S 0.000 -2.358 8.463
S -2.042 1.179 8.463
S 2.042 -1.179 11.770
S 0.000 2.358 11.770
S 0.000 0.000 15.213
S 2.042 1.179 8.463
```

Calculated values
Spin magnetization ... 0.0 μB/f.u.
Energy relative to the elements, uncorrected ... -1.985 eV/atom



Across the entries above, E takes the values -98.360; -88.451; -104.816; -51.627; -46.239; -56.383; -84.832; -83.510; -110.795; -112.212; -82.571; -114.017 eV per cell, respectively.